# 1
A relaxed CdSiPb2 crystal, computed with PBE.

E in eV/f.u.: -12.58
Distance to the lowest polymorph of the same formula in eV/atom: 0.0204
Energy relative to the elements, uncorrected in eV per formula unit: 1.18

Lattice parameters (Å, degrees): 6.376 6.376 6.376 148.51 129.12 61.07
Fractional positions:
Cd  0.284  0.784  0.500
Pb  0.011  0.011  0.000
Pb  0.716  0.216  0.500
Si  0.489  0.489  0.000

***

# 2
A relaxed CdSi2Pb crystal, computed with PBE.

E in eV/f.u.: -13.17
Distance to the lowest polymorph of the same formula in eV/atom: 0.3558
Energy relative to the elements, uncorrected in eV per formula unit: 2.30

Lattice parameters (Å, degrees): 4.813 4.352 4.229 90.00 90.00 90.00
Fractional positions:
Cd  0.500  0.000  0.500
Pb  0.000  0.500  0.500
Si  0.000  0.000  0.000
Si  0.500  0.500  0.000

***

# 3
A relaxed Cd2SiPb crystal, computed with PBE.

E in eV/f.u.: -9.78
Distance to the lowest polymorph of the same formula in eV/atom: 0.0263
Energy relative to the elements, uncorrected in eV per formula unit: 1.18

Lattice parameters (Å, degrees): 3.218 3.902 7.536 90.00 90.00 90.00
Fractional positions:
Cd  0.000  0.000  0.956
Cd  0.000  0.000  0.544
Pb  0.500  0.500  0.250
Si  0.500  0.500  0.750

***

# 4
A relaxed Cd2SiPb crystal, computed with PBE.

E in eV/f.u.: -9.82
Distance to the lowest polymorph of the same formula in eV/atom: 0.0160
Energy relative to the elements, uncorrected in eV per formula unit: 1.14

Lattice parameters (Å, degrees): 6.372 6.372 6.372 150.68 130.44 58.63
Fractional positions:
Cd  0.032  0.032  0.000
Cd  0.468  0.468  0.000
Pb  0.750  0.250  0.500
Si  0.250  0.750  0.500

***

# 5
A relaxed Cd2SiPb crystal, computed with PBE.

E in eV/f.u.: -9.82
Distance to the lowest polymorph of the same formula in eV/atom: 0.0173
Energy relative to the elements, uncorrected in eV per formula unit: 1.14

Lattice parameters (Å, degrees): 3.239 3.239 9.016 90.00 90.00 90.01
Fractional positions:
Cd  0.000  0.000  0.961
Cd  0.000  0.000  0.539
Pb  0.500  0.500  0.250
Si  0.500  0.500  0.750

***

# 6
A relaxed Cd2SiPb crystal, computed with PBE.

E in eV/f.u.: -9.69
Distance to the lowest polymorph of the same formula in eV/atom: 0.0494
Energy relative to the elements, uncorrected in eV per formula unit: 1.27

Lattice parameters (Å, degrees): 5.608 5.608 5.608 132.15 132.15 69.98
Fractional positions:
Cd  0.000  0.000  0.000
Cd  0.500  0.500  0.000
Pb  0.250  0.750  0.500
Si  0.750  0.250  0.500

***

# 7
A relaxed CdSiPb2 crystal, computed with PBE.

E in eV/f.u.: -12.66
Distance to the lowest polymorph of the same formula in eV/atom: 0.0000
Energy relative to the elements, uncorrected in eV per formula unit: 1.10

Lattice parameters (Å, degrees): 7.536 7.536 7.536 151.76 147.43 43.64
Fractional positions:
Cd  0.250  0.750  0.500
Pb  0.927  0.927  0.000
Pb  0.573  0.573  0.000
Si  0.750  0.250  0.500

***

# 8
A relaxed CdSiPb2 crystal, computed with PBE.

E in eV/f.u.: -12.63
Distance to the lowest polymorph of the same formula in eV/atom: 0.0069
Energy relative to the elements, uncorrected in eV per formula unit: 1.12

Lattice parameters (Å, degrees): 3.630 3.850 7.493 90.00 90.00 90.00
Fractional positions:
Cd  0.500  0.500  0.714
Pb  0.000  0.000  0.954
Pb  0.500  0.500  0.306
Si  0.000  0.000  0.526

***

# 9
A relaxed CdSi2Pb crystal, computed with PBE.

E in eV/f.u.: -13.24
Distance to the lowest polymorph of the same formula in eV/atom: 0.3385
Energy relative to the elements, uncorrected in eV per formula unit: 2.23

Lattice parameters (Å, degrees): 3.251 3.251 8.319 90.00 90.00 90.00
Fractional positions:
Cd  0.500  0.500  0.250
Pb  0.500  0.500  0.750
Si  0.000  0.000  0.021
Si  0.000  0.000  0.479

***

# 10
A relaxed CdSi2Pb crystal, computed with PBE.

E in eV/f.u.: -13.12
Distance to the lowest polymorph of the same formula in eV/atom: 0.3677
Energy relative to the elements, uncorrected in eV per formula unit: 2.35

Lattice parameters (Å, degrees): 3.203 5.357 6.616 51.49 90.00 90.00
Fractional positions:
Cd  0.500  0.500  0.500
Pb  0.000  0.000  0.500
Si  0.000  0.000  0.000
Si  0.500  0.500  0.000

***

# 11
A relaxed Cd2SiPb crystal, computed with PBE.

E in eV/f.u.: -9.89
Distance to the lowest polymorph of the same formula in eV/atom: 0.0000
Energy relative to the elements, uncorrected in eV per formula unit: 1.07

Lattice parameters (Å, degrees): 7.073 7.073 7.073 150.56 144.62 46.67
Fractional positions:
Cd  0.068  0.068  0.000
Cd  0.742  0.242  0.500
Pb  0.439  0.439  0.000
Si  0.250  0.750  0.500

***

# 12
A relaxed CdSiPb2 crystal, computed with PBE.

E in eV/f.u.: -12.12
Distance to the lowest polymorph of the same formula in eV/atom: 0.1337
Energy relative to the elements, uncorrected in eV per formula unit: 1.63

Lattice parameters (Å, degrees): 6.807 6.807 7.677 63.69 63.69 90.00
Fractional positions:
Pb  0.594  0.125  0.250
Pb  0.156  0.625  0.250
Pb  0.375  0.406  0.750
Pb  0.875  0.844  0.750
Si  0.500  0.500  0.000
Si  0.250  0.750  0.500
Cd  0.000  0.000  0.000
Cd  0.750  0.250  0.500

***

> distance to the lowest polymorph of the same formula of number 9 (CdSi2Pb)?

0.3385 eV/atom

***

Repeat the first record exactly.
A relaxed CdSiPb2 crystal, computed with PBE.

E in eV/f.u.: -12.58
Distance to the lowest polymorph of the same formula in eV/atom: 0.0204
Energy relative to the elements, uncorrected in eV per formula unit: 1.18

Lattice parameters (Å, degrees): 6.376 6.376 6.376 148.51 129.12 61.07
Fractional positions:
Cd  0.284  0.784  0.500
Pb  0.011  0.011  0.000
Pb  0.716  0.216  0.500
Si  0.489  0.489  0.000